Entry 1:
! SrLa2Sc, relaxed, DFT PBE; values from VASP
&SYSTEM
  ibrav = 0, nat = 4, ntyp = 3
/
ATOMIC_SPECIES
La 138.91 La.upf
Sc 44.96 Sc.upf
Sr 87.62 Sr.upf
ATOMIC_POSITIONS angstrom
La 1.988 2.998 0.000
Sc 1.988 0.000 3.050
La 0.000 0.000 0.000
Sr 0.000 2.998 3.050
CELL_PARAMETERS angstrom
3.976 0.000 0.000
0.000 5.997 0.000
0.000 0.000 6.100
! **SG**: No. 47
! **Crystal system**: orthorhombic
! **ΔH_f (0 K)**: 1.1 eV per formula unit
! **Total moment**: 0.00 μB/cell
! **Energy above the most stable polymorph in this dataset**: 167 meV per atom

***

Entry 2:
! La7NdY2, relaxed, DFT PBE; values from VASP
&SYSTEM
  ibrav = 0, nat = 10, ntyp = 3
/
ATOMIC_SPECIES
La 138.91 La.upf
Nd 144.24 Nd.upf
Y 88.91 Y.upf
ATOMIC_POSITIONS angstrom
La 1.768 5.255 2.850
La 1.768 0.173 5.976
La 0.000 9.575 -1.869
La 0.000 -5.987 7.702
Nd 0.000 0.000 0.000
La 1.768 3.414 -0.143
Y 1.768 6.963 -0.263
La 1.768 -1.668 2.982
Y 1.768 -3.376 6.096
La 1.768 1.794 2.916
CELL_PARAMETERS angstrom
3.535 0.000 0.000
0.000 14.410 -4.843
0.000 -10.823 10.676
! **SG**: No. 65
! **Crystal system**: orthorhombic
! **ΔH_f (0 K)**: 1.5 eV per formula unit
! **Total moment**: 0.00 μB/cell
! **Energy above the most stable polymorph in this dataset**: 0 meV per atom

***

> Number 2 is which compound?

La7NdY2

***

> Look up the energy above the most stable polymorph in this dataset of the first one.

167 meV per atom